Record 1
CaMg2Mn | PBE | optimized geometry

Energy relative to the elements, eV/atom: 0.23

a b c (Å): 11.5125 3.6220 5.1459
angles (deg): 90.00 116.24 90.00
Closest atoms and distances in Å follow each position.
Space group C2/m (No. 12)
Symmetry-distinct sites (fractional):
Ca (0.0000, 0.0000, 0.0000) x2  4 Mn 3.15, 8 Mg 3.41-3.44
Mg (0.2205, 0.0000, 0.7199) x4  2 Mn 2.91, 4 Mg 3.20-3.21
Mn (0.0000, 0.5000, 0.5000) x2  4 Mg 2.91, 4 Ca 3.15

***

Record 2
CaEr3Ru | PBE | optimized geometry

Energy relative to the elements, eV/atom: -0.17

a b c (Å): 5.3902 5.3902 5.3902
angles (deg): 90.00 90.00 90.00
Closest atoms and distances in Å follow each position.
Space group Pm-3m (No. 221)
Symmetry-distinct sites (fractional):
Ca (0.0000, 0.0000, 0.0000) x1  12 Er 3.81
Er (0.0000, 0.5000, 0.5000) x3  2 Ru 2.70
Ru (0.5000, 0.5000, 0.5000) x1  6 Er 2.70

***

Record 3
K2Tl6PdAu | PBE | optimized geometry

Energy relative to the elements, eV/atom: -0.07

a b c (Å): 7.6590 7.6590 37.9891
angles (deg): 90.00 90.00 120.00
Closest atoms and distances in Å follow each position.
Space group R-3m (No. 166, hexagonal axes)
Symmetry-distinct sites (fractional):
K (0.0000, 0.0000, 0.1088) x6  12 Tl 3.79-3.96, 1 Pd 4.13
K (0.0000, 0.0000, 0.2813) x6  12 Tl 3.65-3.90
Tl (0.0411, 0.5205, 0.2999) x18  1 Pd 2.79, 1 Au 2.96
Tl (0.0480, 0.5240, 0.8657) x18  1 Pd 2.81, 1 Au 2.99
Pd (0.0000, 0.0000, 0.0000) x3  6 Tl 2.79
Pd (0.0000, 0.0000, 0.5000) x3  6 Tl 2.81, 2 Au 2.83
Au (0.0000, 0.0000, 0.4256) x6  1 Pd 2.83, 6 Tl 2.96-2.99

***

Record 4
RbAc2IrO6 | PBE | optimized geometry

E_tot, eV per atom: -6.92

a b c (Å): 5.8187 6.5394 10.9251
angles (deg): 90.00 122.08 90.00
Closest atoms and distances in Å follow each position.
Space group P2_1/c (No. 14)
Symmetry-distinct sites (fractional):
Rb (0.0000, 0.0000, 0.0000) x2  2 O 2.61
Ac (0.2169, 0.0047, 0.7188) x4  6 O 2.48-2.54
Ir (0.5000, 0.0000, 0.5000) x2  6 O 1.96-2.04
O (0.2018, 0.1443, 0.4976) x4  1 Ir 1.96
O (0.2154, 0.6949, 0.8508) x4  1 Ir 2.04
O (0.4720, 0.1780, 0.3397) x4  1 Ir 2.04

***

Record 5
LaCd2Br | PBE | optimized geometry

Offset from the most stable computed form, meV/atom: 189

a b c (Å): 9.1559 9.1559 5.9608
angles (deg): 90.00 90.00 90.00
Closest atoms and distances in Å follow each position.
Space group I-42d (No. 122)
Symmetry-distinct sites (fractional):
La (0.0000, 0.0000, 0.0000) x4  2 Br 2.98
Cd (0.2461, 0.2500, 0.6250) x8  2 Cd 2.98, 2 Br 3.30
Br (0.0000, 0.0000, 0.5000) x4  2 La 2.98, 4 Cd 3.30

***

Record 6
CsSr2RuS | PBE | optimized geometry

E_tot, eV per atom: -3.61

a b c (Å): 6.0162 6.0162 4.4793
angles (deg): 90.00 90.00 90.00
Closest atoms and distances in Å follow each position.
Space group P4/mmm (No. 123)
Symmetry-distinct sites (fractional):
Cs (0.0000, 0.0000, 0.0000) x1  8 Sr 3.75
Sr (0.0000, 0.5000, 0.5000) x2  2 S 3.01
Ru (0.5000, 0.5000, 0.0000) x1  2 S 2.24
S (0.5000, 0.5000, 0.5000) x1  2 Ru 2.24

***

Record 7
PrZnGa2 | PBE | optimized geometry

Energy relative to the elements, eV/atom: -0.40

a b c (Å): 4.4112 4.4112 4.3667
angles (deg): 90.00 90.00 90.00
Closest atoms and distances in Å follow each position.
Space group P4/mmm (No. 123)
Symmetry-distinct sites (fractional):
Pr (0.0000, 0.0000, 0.0000) x1  8 Ga 3.10, 4 Zn 3.12
Zn (0.5000, 0.5000, 0.0000) x1  8 Ga 3.10, 4 Pr 3.12
Ga (0.0000, 0.5000, 0.5000) x2  4 Pr 3.10, 4 Zn 3.10, 4 Ga 3.12

***

Record 8
AcSbPt3 | PBE | optimized geometry

Offset from the most stable computed form, meV/atom: 126

a b c (Å): 6.2198 6.2198 14.4823
angles (deg): 90.00 90.00 120.00
Closest atoms and distances in Å follow each position.
Space group P6_3/mmc (No. 194)
Symmetry-distinct sites (fractional):
Ac (0.0000, 0.0000, 0.0000) x2  6 Pt 3.11
Ac (0.3333, 0.6667, 0.2500) x2  6 Pt 3.12
Sb (0.3333, 0.6667, 0.6345) x4  6 Pt 2.65
Pt (0.0000, 0.5000, 0.0000) x6  2 Sb 2.65
Pt (0.1423, 0.2845, 0.7500) x6  2 Sb 2.65, 2 Pt 2.65